(1)
## AgGePb (PBE)

Data for AgGePb after structural relaxation.

abc: 4.7856 4.7856 4.7856
angles: 60.00 60.00 60.00
Last column: nearest neighbours and their distance in Å.
Sites, in units of the cell vectors:
Ag 0.2500 0.2500 0.2500  4 Ge 2.93
Ge 0.0000 0.0000 0.0000  4 Pb 2.93, 4 Ag 2.93
Pb 0.7500 0.7500 0.7500  4 Ge 2.93

Properties
Space group = F-43m, No. 216
Energy above the lowest structure with this stoichiometry = 0 meV per atom
Mass density = 8307 kg/m³

(2)
## UPdPt (PBE)

Data for UPdPt after structural relaxation.

abc: 4.5781 4.5781 4.5781
angles: 60.00 60.00 60.00
Last column: nearest neighbours and their distance in Å.
Sites, in units of the cell vectors:
Pd 0.2500 0.2500 0.2500  4 U 2.80
U 0.0000 0.0000 0.0000  4 Pd 2.80, 4 Pt 2.80
Pt 0.7500 0.7500 0.7500  4 U 2.80

Properties
Energy of formation = -0.1664 eV/atom
Space group = F-43m, No. 216
Energy above the lowest structure with this stoichiometry = 78 meV per atom
Mass density = 13205 kg/m³

(3)
## KSn2Hg2 (PBE)

Data for KSn2Hg2 after structural relaxation.

abc: 7.0674 7.0674 7.0674
angles: 137.85 137.85 61.14
Last column: nearest neighbours and their distance in Å.
Sites, in units of the cell vectors:
K 0.0000 0.0000 0.0000  8 Sn 3.88, 8 Hg 3.96
Sn 0.3808 0.3808 0.0000  1 Sn 2.90, 4 Hg 3.00
Hg 0.7500 0.2500 0.5000  4 Sn 3.00
Hg 0.2500 0.7500 0.5000  4 Sn 3.00
Sn 0.6192 0.6192 0.0000  1 Sn 2.90, 4 Hg 3.00

Properties
Space group = I4/mmm, No. 139
Energy above the lowest structure with this stoichiometry = 8 meV per atom
Mass density = 7158 kg/m³

(4)
## Sm3DyHo2CoTe2 (PBE)

Data for Sm3DyHo2CoTe2 after structural relaxation.

abc: 3.9706 8.4307 8.4307
angles: 120.00 90.00 90.00
Last column: nearest neighbours and their distance in Å.
Sites, in units of the cell vectors:
Te 0.5000 0.3333 0.6667  6 Sm 3.24, 2 Ho 3.32, 1 Dy 3.32
Sm 0.0000 0.4036 0.0000  4 Te 3.24, 1 Co 3.40, 2 Ho 3.56, 2 Dy 3.56
Co 0.0000 0.0000 0.0000  4 Ho 2.79, 2 Dy 2.79
Sm 0.0000 0.5964 0.5964  4 Te 3.24, 1 Co 3.40, 4 Ho 3.56
Ho 0.5000 0.0000 0.7681  2 Co 2.79
Te 0.5000 0.6667 0.3333  6 Sm 3.24, 2 Ho 3.32, 1 Dy 3.32
Dy 0.5000 0.2320 0.2320  2 Co 2.79
Ho 0.5000 0.7681 0.0000  2 Co 2.79
Sm 0.0000 0.0000 0.4036  4 Te 3.24, 1 Co 3.40, 2 Ho 3.56, 2 Dy 3.56

Properties
Space group = Amm2, No. 38
Electronic total energy = -47.6 eV/f.u.
Mass density = 8544 kg/m³

(5)
## NdPuNp (PBE)

Data for NdPuNp after structural relaxation.

abc: 5.0506 5.0506 5.0506
angles: 60.00 60.00 60.00
Last column: nearest neighbours and their distance in Å.
Sites, in units of the cell vectors:
Np 0.7500 0.7500 0.7500  4 Pu 3.09
Pu 0.0000 0.0000 0.0000  4 Np 3.09, 4 Nd 3.09
Nd 0.2500 0.2500 0.2500  4 Pu 3.09

Properties
Energy of formation = 0.9124 eV/atom
Space group = F-43m, No. 216
Energy above the lowest structure with this stoichiometry = 0 meV per atom
Mass density = 11397 kg/m³

(6)
## Pr4AlI5 (PBE)

Data for Pr4AlI5 after structural relaxation.

abc: 10.2141 10.2141 9.2630
angles: 102.33 102.33 24.64
Last column: nearest neighbours and their distance in Å.
Sites, in units of the cell vectors:
I 0.1717 0.1717 0.8280  4 Pr 3.26-3.46
Pr 0.6507 0.6507 0.0765  1 Al 2.94, 4 I 3.21-3.26
Al 0.5000 0.5000 0.0000  6 Pr 2.94-3.02
I 0.8283 0.8283 0.1720  4 Pr 3.26-3.46
Pr 0.0001 0.0001 0.2255  2 Al 3.02, 4 I 3.27-3.35
Pr 0.9999 0.9999 0.7745  2 Al 3.02, 4 I 3.27-3.35
Pr 0.3493 0.3493 0.9235  1 Al 2.94, 4 I 3.21-3.26
I 0.5000 0.5000 0.5000  4 Pr 3.35
I 0.1671 0.1671 0.3370  3 Pr 3.21-3.27
I 0.8329 0.8329 0.6630  3 Pr 3.21-3.27

Properties
Space group = C2/m, No. 12
Electronic total energy = -41.5 eV/f.u.
Mass density = 5175 kg/m³

(7)
## YBeFeB (PBE)

Data for YBeFeB after structural relaxation.

abc: 4.1604 4.1604 4.1604
angles: 60.00 60.00 60.00
Last column: nearest neighbours and their distance in Å.
Sites, in units of the cell vectors:
B 0.0000 0.0000 0.0000  4 Fe 2.55, 4 Be 2.55
Fe 0.7500 0.7500 0.7500  4 B 2.55, 4 Y 2.55
Be 0.2500 0.2500 0.2500  4 Y 2.55, 4 B 2.55
Y 0.5000 0.5000 0.5000  4 Fe 2.55, 4 Be 2.55

Properties
Space group = F-43m, No. 216
Energy above the lowest structure with this stoichiometry = 361 meV per atom
Mass density = 5367 kg/m³

(8)
## FeTcPd2 (PBE)

Data for FeTcPd2 after structural relaxation.

abc: 4.3396 4.3396 4.3396
angles: 60.00 60.00 60.00
Last column: nearest neighbours and their distance in Å.
Sites, in units of the cell vectors:
Pd 0.0000 0.0000 0.0000  4 Pd 2.66, 4 Fe 2.66
Fe 0.2500 0.2500 0.2500  4 Tc 2.66, 4 Pd 2.66
Pd 0.7500 0.7500 0.7500  4 Tc 2.66, 4 Pd 2.66
Tc 0.5000 0.5000 0.5000  4 Pd 2.66, 4 Fe 2.66

Properties
Energy of formation = 0.2233 eV/atom
Space group = F-43m, No. 216
Mass density = 10537 kg/m³

(9)
## Hf3GaRe2 (PBE)

Data for Hf3GaRe2 after structural relaxation.

abc: 3.3351 3.3351 9.6318
angles: 90.00 90.00 90.00
Last column: nearest neighbours and their distance in Å.
Sites, in units of the cell vectors:
Re 0.0000 0.0000 0.8276  8 Hf 2.79-2.88
Ga 0.0000 0.0000 0.5000  8 Hf 2.89, 2 Re 3.16
Re 0.0000 0.0000 0.1724  8 Hf 2.79-2.88
Hf 0.5000 0.5000 0.6731  4 Re 2.79, 4 Ga 2.89
Hf 0.5000 0.5000 0.0000  8 Re 2.88, 2 Hf 3.15
Hf 0.5000 0.5000 0.3269  4 Re 2.79, 4 Ga 2.89

Properties
Space group = P4/mmm, No. 123
Electronic total energy = -60.3 eV/f.u.
Mass density = 15153 kg/m³

(10)
## TbTePO (PBE)

Data for TbTePO after structural relaxation.

abc: 5.2601 7.3209 6.0060
angles: 90.00 90.00 90.00
Last column: nearest neighbours and their distance in Å.
Sites, in units of the cell vectors:
Te 0.5000 0.1757 0.5525  2 P 2.54-2.55
O 0.0000 0.5482 0.7630  2 Tb 2.04
Tb 0.0000 0.3228 0.9628  2 O 2.04
P 0.5000 0.1672 0.9757  2 Te 2.54-2.55
O 0.0000 0.4518 0.2630  2 Tb 2.04
P 0.5000 0.8328 0.4757  2 Te 2.54-2.55
Tb 0.0000 0.6772 0.4628  2 O 2.04
Te 0.5000 0.8243 0.0525  2 P 2.54-2.55

Properties
Space group = Pmc2_1, No. 26
Energy above the lowest structure with this stoichiometry = 0 meV per atom
Mass density = 4789 kg/m³

(11)
## GdCdCu (PBE)

Data for GdCdCu after structural relaxation.

abc: 4.9571 4.9571 6.1313
angles: 90.00 90.00 120.00
Last column: nearest neighbours and their distance in Å.
Sites, in units of the cell vectors:
Gd 0.3333 0.6667 0.7500  5 Cd 2.86-3.07
Cu 0.0000 0.0000 0.0000  2 Cu 3.07, 6 Gd 3.25, 6 Cd 3.25
Cu 0.0000 0.0000 0.5000  2 Cu 3.07, 6 Gd 3.25, 6 Cd 3.25
Cd 0.3333 0.6667 0.2500  5 Gd 2.86-3.07
Gd 0.6667 0.3333 0.2500  5 Cd 2.86-3.07
Cd 0.6667 0.3333 0.7500  5 Gd 2.86-3.07

Properties
Energy of formation = 0.0187 eV/atom
Space group = P6_3/mmc, No. 194
Energy above the lowest structure with this stoichiometry = 316 meV per atom
Mass density = 8481 kg/m³

(12)
## AgTePtO (PBE)

Data for AgTePtO after structural relaxation.

abc: 4.6141 4.6141 7.8506
angles: 90.00 90.00 90.00
Last column: nearest neighbours and their distance in Å.
Sites, in units of the cell vectors:
Ag 0.7500 0.7500 0.2067  1 O 2.12
Te 0.2500 0.7500 0.5000  4 Pt 2.77
Pt 0.7500 0.7500 0.6951  1 O 1.89
Ag 0.2500 0.2500 0.7933  1 O 2.12
Pt 0.2500 0.2500 0.3049  1 O 1.89
O 0.7500 0.7500 0.9360  1 Pt 1.89
O 0.2500 0.2500 0.0640  1 Pt 1.89
Te 0.7500 0.2500 0.5000  4 Pt 2.77

Properties
Space group = P4/nmm, No. 129
Energy above the lowest structure with this stoichiometry = 446 meV per atom
Mass density = 8873 kg/m³